# CrIn2Tc, optimized geometry, DFT PBE
data_CrIn2Tc
_chemical_formula_sum 'Cr1 In2 Tc1'
_cell_length_a 4.6420
_cell_length_b 4.6420
_cell_length_c 4.6420
_cell_angle_alpha 60.00
_cell_angle_beta 60.00
_cell_angle_gamma 60.00
_symmetry_space_group_name_H-M 'P 1'
_symmetry_Int_Tables_number 1
loop_
_symmetry_equiv_pos_as_xyz
'x,y,z'
loop_
_atom_site_label
_atom_site_type_symbol
_atom_site_fract_x
_atom_site_fract_y
_atom_site_fract_z
Cr1 Cr 0.0000 0.0000 0.0000
In1 In 0.2500 0.2500 0.2500
In2 In 0.7500 0.7500 0.7500
Tc1 Tc 0.5000 0.5000 0.5000
# Density of states at the Fermi level (states/eV per atom): 0.7892
# Space-group type: Fm-3m (225)
# E_form (eV/atom): 0.34

=====

# InTcBi2, optimized geometry, DFT PBE
data_InTcBi2
_chemical_formula_sum 'In2 Tc2 Bi4'
_cell_length_a 8.0901
_cell_length_b 8.0901
_cell_length_c 8.0901
_cell_angle_alpha 132.19
_cell_angle_beta 132.19
_cell_angle_gamma 69.92
_symmetry_space_group_name_H-M 'P 1'
_symmetry_Int_Tables_number 1
loop_
_symmetry_equiv_pos_as_xyz
'x,y,z'
loop_
_atom_site_label
_atom_site_type_symbol
_atom_site_fract_x
_atom_site_fract_y
_atom_site_fract_z
In1 In 0.0000 0.0000 0.0000
In2 In 0.7500 0.2500 0.5000
Tc1 Tc 0.2500 0.7500 0.5000
Tc2 Tc 0.5000 0.5000 0.0000
Bi1 Bi 0.1850 0.6250 0.0600
Bi2 Bi 0.3750 0.4350 0.5599
Bi3 Bi 0.5651 0.1250 0.9400
Bi4 Bi 0.8750 0.8151 0.4400
# Density of states at the Fermi level (states/eV per atom): 0.4407
# Space-group type: I-42d (122)
# E_form (eV/atom): 0.67

=====

# Zr6TcPd, optimized geometry, DFT PBE
data_Zr6TcPd
_chemical_formula_sum 'Zr6 Tc1 Pd1'
_cell_length_a 8.2015
_cell_length_b 8.2015
_cell_length_c 8.2015
_cell_angle_alpha 146.72
_cell_angle_beta 146.72
_cell_angle_gamma 47.78
_symmetry_space_group_name_H-M 'P 1'
_symmetry_Int_Tables_number 1
loop_
_symmetry_equiv_pos_as_xyz
'x,y,z'
loop_
_atom_site_label
_atom_site_type_symbol
_atom_site_fract_x
_atom_site_fract_y
_atom_site_fract_z
Zr1 Zr 0.1100 0.6100 0.5000
Zr2 Zr 0.2468 0.2468 0.0000
Zr3 Zr 0.3900 0.8900 0.5000
Zr4 Zr 0.6100 0.1100 0.5000
Zr5 Zr 0.7532 0.7532 0.0000
Zr6 Zr 0.8900 0.3900 0.5000
Tc1 Tc 0.0000 0.0000 0.0000
Pd1 Pd 0.5000 0.5000 0.0000
# Density of states at the Fermi level (states/eV per atom): 1.2345
# Space-group type: I4/mmm (139)
# E_form (eV/atom): -0.26

=====

# Dy2TmAlS6, optimized geometry, DFT PBE
data_Dy2TmAlS6
_chemical_formula_sum 'Dy2 Tm1 Al1 S6'
_cell_length_a 7.0556
_cell_length_b 7.0556
_cell_length_c 7.0556
_cell_angle_alpha 56.69
_cell_angle_beta 56.69
_cell_angle_gamma 56.69
_symmetry_space_group_name_H-M 'P 1'
_symmetry_Int_Tables_number 1
loop_
_symmetry_equiv_pos_as_xyz
'x,y,z'
loop_
_atom_site_label
_atom_site_type_symbol
_atom_site_fract_x
_atom_site_fract_y
_atom_site_fract_z
Dy1 Dy 0.0000 0.0000 0.0000
Dy2 Dy 0.4984 0.4984 0.4984
Tm1 Tm 0.2041 0.2041 0.2041
Al1 Al 0.7009 0.7009 0.7009
S1 S 0.0620 0.4380 0.8134
S2 S 0.3352 0.9099 0.5890
S3 S 0.4380 0.8134 0.0620
S4 S 0.5890 0.3352 0.9099
S5 S 0.8134 0.0620 0.4380
S6 S 0.9099 0.5890 0.3352
# Density of states at the Fermi level (states/eV per atom): 0.0000
# Space-group type: R3 (146)
# E_tot (eV per cell): -59.715

=====

# Tl2NiTe2, optimized geometry, DFT PBE
data_Tl2NiTe2
_chemical_formula_sum 'Tl4 Ni2 Te4'
_cell_length_a 6.8187
_cell_length_b 6.8187
_cell_length_c 6.1470
_cell_angle_alpha 90.00
_cell_angle_beta 90.00
_cell_angle_gamma 90.00
_symmetry_space_group_name_H-M 'P 1'
_symmetry_Int_Tables_number 1
loop_
_symmetry_equiv_pos_as_xyz
'x,y,z'
loop_
_atom_site_label
_atom_site_type_symbol
_atom_site_fract_x
_atom_site_fract_y
_atom_site_fract_z
Tl1 Tl 0.1804 0.3196 0.0000
Tl2 Tl 0.3196 0.8196 0.0000
Tl3 Tl 0.6804 0.1804 0.0000
Tl4 Tl 0.8196 0.6804 0.0000
Ni1 Ni 0.0000 0.0000 0.5000
Ni2 Ni 0.5000 0.5000 0.5000
Te1 Te 0.1590 0.6590 0.5000
Te2 Te 0.3410 0.1590 0.5000
Te3 Te 0.6590 0.8410 0.5000
Te4 Te 0.8410 0.3410 0.5000
# Density of states at the Fermi level (states/eV per atom): 0.3238
# Space-group type: P4/mbm (127)
# E_tot (eV per cell): -34.096

=====

# NaS2NCl, optimized geometry, DFT PBE
data_NaS2NCl
_chemical_formula_sum 'Na1 S2 N1 Cl1'
_cell_length_a 5.4283
_cell_length_b 5.4283
_cell_length_c 4.7652
_cell_angle_alpha 90.00
_cell_angle_beta 90.00
_cell_angle_gamma 90.00
_symmetry_space_group_name_H-M 'P 1'
_symmetry_Int_Tables_number 1
loop_
_symmetry_equiv_pos_as_xyz
'x,y,z'
loop_
_atom_site_label
_atom_site_type_symbol
_atom_site_fract_x
_atom_site_fract_y
_atom_site_fract_z
Na1 Na 0.0000 0.0000 0.0000
S1 S 0.0000 0.5000 0.0000
S2 S 0.5000 0.0000 0.0000
N1 N 0.0000 0.0000 0.5000
Cl1 Cl 0.5000 0.5000 0.5000
# Density of states at the Fermi level (states/eV per atom): 0.3444
# Space-group type: P4/mmm (123)
# E_tot (eV per cell): -12.056

=====

# NaY3Ga, optimized geometry, DFT PBE
data_NaY3Ga
_chemical_formula_sum 'Na1 Y3 Ga1'
_cell_length_a 5.4408
_cell_length_b 5.4408
_cell_length_c 5.4408
_cell_angle_alpha 90.00
_cell_angle_beta 90.00
_cell_angle_gamma 90.00
_symmetry_space_group_name_H-M 'P 1'
_symmetry_Int_Tables_number 1
loop_
_symmetry_equiv_pos_as_xyz
'x,y,z'
loop_
_atom_site_label
_atom_site_type_symbol
_atom_site_fract_x
_atom_site_fract_y
_atom_site_fract_z
Na1 Na 0.0000 0.0000 0.0000
Y1 Y 0.0000 0.0000 0.5000
Y2 Y 0.0000 0.5000 0.0000
Y3 Y 0.5000 0.0000 0.0000
Ga1 Ga 0.5000 0.5000 0.5000
# Density of states at the Fermi level (states/eV per atom): 1.5043
# Space-group type: Pm-3m (221)
# E_form (eV/atom): 0.86

=====

# Cs3Au2I7, optimized geometry, DFT PBE
data_Cs3Au2I7
_chemical_formula_sum 'Cs3 Au2 I7'
_cell_length_a 15.1122
_cell_length_b 15.1122
_cell_length_c 5.8127
_cell_angle_alpha 90.00
_cell_angle_beta 90.00
_cell_angle_gamma 157.18
_symmetry_space_group_name_H-M 'P 1'
_symmetry_Int_Tables_number 1
loop_
_symmetry_equiv_pos_as_xyz
'x,y,z'
loop_
_atom_site_label
_atom_site_type_symbol
_atom_site_fract_x
_atom_site_fract_y
_atom_site_fract_z
Cs1 Cs 0.0000 0.0000 0.0000
Cs2 Cs 0.1815 0.8185 0.0000
Cs3 Cs 0.8185 0.1815 0.0000
Au1 Au 0.4020 0.5980 0.5000
Au2 Au 0.5980 0.4020 0.5000
I1 I 0.0937 0.9063 0.5000
I2 I 0.3049 0.6951 0.5000
I3 I 0.4059 0.5941 0.0000
I4 I 0.5000 0.5000 0.5000
I5 I 0.5941 0.4059 0.0000
I6 I 0.6951 0.3049 0.5000
I7 I 0.9063 0.0937 0.5000
# Density of states at the Fermi level (states/eV per atom): 0.2597
# Space-group type: Cmmm (65)
# E_tot (eV per cell): -29.477

=====

# FeAgIr2, optimized geometry, DFT PBE
data_FeAgIr2
_chemical_formula_sum 'Fe1 Ag1 Ir2'
_cell_length_a 2.7262
_cell_length_b 3.6812
_cell_length_c 5.8794
_cell_angle_alpha 90.00
_cell_angle_beta 90.00
_cell_angle_gamma 90.00
_symmetry_space_group_name_H-M 'P 1'
_symmetry_Int_Tables_number 1
loop_
_symmetry_equiv_pos_as_xyz
'x,y,z'
loop_
_atom_site_label
_atom_site_type_symbol
_atom_site_fract_x
_atom_site_fract_y
_atom_site_fract_z
Fe1 Fe 0.0000 0.0000 0.0000
Ag1 Ag 0.0000 0.0000 0.5000
Ir1 Ir 0.5000 0.5000 0.2219
Ir2 Ir 0.5000 0.5000 0.7781
# Density of states at the Fermi level (states/eV per atom): 1.2279
# Space-group type: Pmmm (47)
# E_form (eV/atom): 0.30

=====

# Si4BiO10, optimized geometry, DFT PBE
data_Si4BiO10
_chemical_formula_sum 'Si16 Bi4 O40'
_cell_length_a 7.5624
_cell_length_b 7.5624
_cell_length_c 16.8859
_cell_angle_alpha 90.00
_cell_angle_beta 90.00
_cell_angle_gamma 90.00
_symmetry_space_group_name_H-M 'P 1'
_symmetry_Int_Tables_number 1
loop_
_symmetry_equiv_pos_as_xyz
'x,y,z'
loop_
_atom_site_label
_atom_site_type_symbol
_atom_site_fract_x
_atom_site_fract_y
_atom_site_fract_z
Si1 Si 0.0124 0.0735 0.1580
Si2 Si 0.0124 0.4265 0.6580
Si3 Si 0.0735 0.0124 0.6580
Si4 Si 0.0735 0.4876 0.1580
Si5 Si 0.4265 0.0124 0.1580
Si6 Si 0.4265 0.4876 0.6580
Si7 Si 0.4876 0.0735 0.6580
Si8 Si 0.4876 0.4265 0.1580
Si9 Si 0.5124 0.5735 0.8420
Si10 Si 0.5124 0.9265 0.3420
Si11 Si 0.5735 0.5124 0.3420
Si12 Si 0.5735 0.9876 0.8420
Si13 Si 0.9265 0.5124 0.8420
Si14 Si 0.9265 0.9876 0.3420
Si15 Si 0.9876 0.5735 0.3420
Si16 Si 0.9876 0.9265 0.8420
Bi1 Bi 0.2500 0.2500 0.4550
Bi2 Bi 0.2500 0.2500 0.9550
Bi3 Bi 0.7500 0.7500 0.0450
Bi4 Bi 0.7500 0.7500 0.5450
O1 O 0.0062 0.2137 0.6404
O2 O 0.0062 0.2863 0.1404
O3 O 0.0193 0.1256 0.4022
O4 O 0.0193 0.3744 0.9022
O5 O 0.0387 0.5387 0.2500
O6 O 0.0387 0.9613 0.7500
O7 O 0.1256 0.0193 0.9022
O8 O 0.1256 0.4807 0.4022
O9 O 0.2137 0.0062 0.1404
O10 O 0.2137 0.4938 0.6404
O11 O 0.2863 0.0062 0.6404
O12 O 0.2863 0.4938 0.1404
O13 O 0.3744 0.0193 0.4022
O14 O 0.3744 0.4807 0.9022
O15 O 0.4613 0.5387 0.7500
O16 O 0.4613 0.9613 0.2500
O17 O 0.4807 0.1256 0.9022
O18 O 0.4807 0.3744 0.4022
O19 O 0.4938 0.2137 0.1404
O20 O 0.4938 0.2863 0.6404
O21 O 0.5062 0.7137 0.3597
O22 O 0.5062 0.7863 0.8596
O23 O 0.5193 0.6256 0.5978
O24 O 0.5193 0.8744 0.0978
O25 O 0.5387 0.0387 0.7500
O26 O 0.5387 0.4613 0.2500
O27 O 0.6256 0.5193 0.0978
O28 O 0.6256 0.9807 0.5978
O29 O 0.7137 0.5062 0.8596
O30 O 0.7137 0.9938 0.3597
O31 O 0.7863 0.5062 0.3597
O32 O 0.7863 0.9938 0.8596
O33 O 0.8744 0.5193 0.5978
O34 O 0.8744 0.9807 0.0978
O35 O 0.9613 0.0387 0.2500
O36 O 0.9613 0.4613 0.7500
O37 O 0.9807 0.6256 0.0978
O38 O 0.9807 0.8744 0.5978
O39 O 0.9938 0.7137 0.8596
O40 O 0.9938 0.7863 0.3597
# Density of states at the Fermi level (states/eV per atom): 0.4088
# Space-group type: P4/ncc (130)
# E_tot (eV per cell): -438.586

=====

# Tb2YPa, optimized geometry, DFT PBE
data_Tb2YPa
_chemical_formula_sum 'Tb2 Y1 Pa1'
_cell_length_a 12.4177
_cell_length_b 12.4177
_cell_length_c 12.4177
_cell_angle_alpha 15.48
_cell_angle_beta 15.48
_cell_angle_gamma 15.48
_symmetry_space_group_name_H-M 'P 1'
_symmetry_Int_Tables_number 1
loop_
_symmetry_equiv_pos_as_xyz
'x,y,z'
loop_
_atom_site_label
_atom_site_type_symbol
_atom_site_fract_x
_atom_site_fract_y
_atom_site_fract_z
Tb1 Tb 0.0870 0.0870 0.0870
Tb2 Tb 0.9130 0.9130 0.9130
Y1 Y 0.5000 0.5000 0.5000
Pa1 Pa 0.0000 0.0000 0.0000
# Density of states at the Fermi level (states/eV per atom): 1.3774
# Space-group type: R-3m (166)
# E_form (eV/atom): 0.29